No. 1
# Na4LiCl2, optimized geometry, DFT PBE-GGA
# Formation energy from raw total energies ... -0.57 eV/atom
data_Na4LiCl2
_symmetry_space_group_name_H-M 'I 4/m m m'
_symmetry_Int_Tables_number 139
_symmetry_space_group_name_Hall '-I 4 2'
_cell_length_a 5.6879
_cell_length_b 5.6879
_cell_length_c 14.8711
_cell_angle_alpha 90.00
_cell_angle_beta 90.00
_cell_angle_gamma 90.00
loop_
_atom_site_label
_atom_site_type_symbol
_atom_site_fract_x
_atom_site_fract_y
_atom_site_fract_z
_atom_site_occupancy
Na1 Na 0.0000 0.0000 0.2085 1
Na2 Na 0.0000 0.5000 0.0000 1
Li1 Li 0.0000 0.0000 0.0000 1
Cl1 Cl 0.0000 0.0000 0.3827 1



No. 2
# NaLiCl3, optimized geometry, DFT PBE-GGA
# Formation energy from raw total energies ... -1.16 eV/atom
# E above lowest polymorph ... 0 meV per atom
data_NaLiCl3
_symmetry_space_group_name_H-M 'P m -3 m'
_symmetry_Int_Tables_number 221
_symmetry_space_group_name_Hall '-P 4 2 3'
_cell_length_a 4.8671
_cell_length_b 4.8671
_cell_length_c 4.8671
_cell_angle_alpha 90.00
_cell_angle_beta 90.00
_cell_angle_gamma 90.00
loop_
_atom_site_label
_atom_site_type_symbol
_atom_site_fract_x
_atom_site_fract_y
_atom_site_fract_z
_atom_site_occupancy
Na1 Na 0.0000 0.0000 0.0000 1
Li1 Li 0.5000 0.5000 0.5000 1
Cl1 Cl 0.0000 0.5000 0.5000 1



No. 3
# NaLiNbCl6, optimized geometry, DFT PBE-GGA
# Formation energy from raw total energies ... -1.47 eV/atom
data_NaLiNbCl6
_symmetry_space_group_name_H-M 'P -3 1 c'
_symmetry_Int_Tables_number 163
_symmetry_space_group_name_Hall '-P 3 2c'
_cell_length_a 6.4828
_cell_length_b 6.4828
_cell_length_c 12.4331
_cell_angle_alpha 90.00
_cell_angle_beta 90.00
_cell_angle_gamma 120.00
loop_
_atom_site_label
_atom_site_type_symbol
_atom_site_fract_x
_atom_site_fract_y
_atom_site_fract_z
_atom_site_occupancy
Na1 Na 0.0000 0.0000 0.0000 1
Li1 Li 0.3333 0.6667 0.2500 1
Nb1 Nb 0.3333 0.6667 0.7500 1
Cl1 Cl 0.0166 0.3676 0.6373 1



No. 4
# Na2LiNiCl6, optimized geometry, DFT PBE-GGA
# Formation energy from raw total energies ... -1.22 eV/atom
data_Na2LiNiCl6
_symmetry_space_group_name_H-M 'P 1'
_symmetry_Int_Tables_number 1
_cell_length_a 6.5356
_cell_length_b 6.7042
_cell_length_c 6.7913
_cell_angle_alpha 63.00
_cell_angle_beta 61.65
_cell_angle_gamma 64.63
loop_
_symmetry_equiv_pos_as_xyz
'x,y,z'
loop_
_atom_site_label
_atom_site_type_symbol
_atom_site_fract_x
_atom_site_fract_y
_atom_site_fract_z
_atom_site_occupancy
Na1 Na 0.0000 0.0000 0.0000 1
Na2 Na 0.4683 0.5497 0.4631 1
Li1 Li 0.1973 0.2301 0.2666 1
Ni1 Ni 0.7781 0.6267 0.7903 1
Cl1 Cl 0.0408 0.8896 0.4280 1
Cl2 Cl 0.1099 0.4110 0.8958 1
Cl3 Cl 0.4609 0.8410 0.6750 1
Cl4 Cl 0.5470 0.3495 0.1469 1
Cl5 Cl 0.6643 0.8500 0.0051 1
Cl6 Cl 0.8816 0.3903 0.5832 1



No. 5
# NaLi2NpCl8, optimized geometry, DFT PBE-GGA
# Formation energy from raw total energies ... -1.60 eV/atom
data_NaLi2NpCl8
_symmetry_space_group_name_H-M 'P -1'
_symmetry_Int_Tables_number 2
_cell_length_a 6.4861
_cell_length_b 7.0213
_cell_length_c 8.6282
_cell_angle_alpha 71.56
_cell_angle_beta 88.37
_cell_angle_gamma 77.59
loop_
_symmetry_equiv_pos_as_xyz
'x,y,z'
'-x,-y,-z'
loop_
_atom_site_label
_atom_site_type_symbol
_atom_site_fract_x
_atom_site_fract_y
_atom_site_fract_z
_atom_site_occupancy
Na1 Na 0.0000 0.0000 0.0000 1
Li1 Li 0.4660 0.3654 0.1633 1
Np1 Np 0.0000 0.0000 0.5000 1
Cl1 Cl 0.1381 0.1974 0.6529 1
Cl2 Cl 0.1520 0.1963 0.2343 1
Cl3 Cl 0.3410 0.7290 0.5682 1
Cl4 Cl 0.3614 0.7192 0.0516 1



No. 6
# Na2LiNpCl8, optimized geometry, DFT PBE-GGA
# Formation energy from raw total energies ... -1.58 eV/atom
data_Na2LiNpCl8
_symmetry_space_group_name_H-M 'P 1 2/m 1'
_symmetry_Int_Tables_number 10
_cell_length_a 6.3635
_cell_length_b 8.5507
_cell_length_c 6.5517
_cell_angle_alpha 90.00
_cell_angle_beta 97.77
_cell_angle_gamma 90.00
loop_
_symmetry_equiv_pos_as_xyz
'x,y,z'
'-x,-y,-z'
'-x,y,-z'
'x,-y,z'
loop_
_atom_site_label
_atom_site_type_symbol
_atom_site_fract_x
_atom_site_fract_y
_atom_site_fract_z
_atom_site_occupancy
Na1 Na 0.0000 0.2156 0.0000 1
Li1 Li 0.5000 0.0000 0.5000 1
Np1 Np 0.5000 0.5000 0.5000 1
Cl1 Cl 0.2182 0.5000 0.1832 1
Cl2 Cl 0.2359 0.0000 0.2215 1
Cl3 Cl 0.2994 0.2905 0.6623 1



Question: Which of these has the highest formation energy from raw total energies?
Answer: Na4LiCl2